A plane-wave DFT calculation with PBE was carried out for NdAlCu2Au4 after structural relaxation.

The structure in POSCAR format:
```
NdAlCu2Au4
1.0
2.2188 1.2810 8.7478
-2.2188 1.2810 8.7478
0.0000 -2.5621 8.7478
Nd Al Cu Au
1 1 2 4
Direct
0.0000 0.0000 0.0000
0.5000 0.5000 0.5000
0.2395 0.2395 0.2395
0.7605 0.7605 0.7605
0.1325 0.1325 0.1325
0.3992 0.3992 0.3992
0.6008 0.6008 0.6008
0.8675 0.8675 0.8675
```

Properties
Energy of formation from the pure elements, meV/atom: -367.3
VASP energy, eV/atom: -4.094
Mass density, Mg/m³: 12.1


A plane-wave DFT calculation with PBE was carried out for Nd2Al3Cu12Au after structural relaxation.

The structure in POSCAR format:
```
Nd2Al3Cu12Au
1.0
3.0257 1.7469 9.5668
-3.0257 1.7469 9.5668
0.0000 -3.4938 9.5668
Nd Al Cu Au
2 3 12 1
Direct
0.1467 0.1467 0.1467
0.8533 0.8533 0.8533
0.0000 0.5000 0.5000
0.5000 0.0000 0.5000
0.5000 0.5000 0.0000
0.0829 0.0829 0.6882
0.0829 0.6882 0.0829
0.1305 0.5777 0.5777
0.3118 0.9171 0.9171
0.4223 0.4223 0.8695
0.4223 0.8695 0.4223
0.5777 0.1305 0.5777
0.5777 0.5777 0.1305
0.6882 0.0829 0.0829
0.8695 0.4223 0.4223
0.9171 0.3118 0.9171
0.9171 0.9171 0.3118
0.5000 0.5000 0.5000
```

Properties
Energy of formation from the pure elements, meV/atom: 60.5
VASP energy, eV/atom: -4.006
Mass density, Mg/m³: 7.3


A plane-wave DFT calculation with PBE was carried out for NpAl4CuAu2 after structural relaxation.

The structure in POSCAR format:
```
NpAl4CuAu2
1.0
2.1670 1.2511 8.7495
-2.1670 1.2511 8.7495
0.0000 -2.5023 8.7495
Np Al Cu Au
1 4 1 2
Direct
0.0000 0.0000 0.0000
0.1308 0.1308 0.1308
0.4001 0.4001 0.4001
0.5999 0.5999 0.5999
0.8692 0.8692 0.8692
0.5000 0.5000 0.5000
0.2400 0.2400 0.2400
0.7600 0.7600 0.7600
```

Properties
Energy of formation from the pure elements, meV/atom: -200.0
VASP energy, eV/atom: -5.020
Mass density, Mg/m³: 9.4


A plane-wave DFT calculation with PBE was carried out for NpAl3CuAu after structural relaxation.

The structure in POSCAR format:
```
NpAl3CuAu
1.0
3.0122 -6.3925 0.0000
3.0122 6.3925 0.0000
0.0000 0.0000 5.8376
Np Al Cu Au
2 6 2 2
Direct
0.2058 0.7942 0.7500
0.7942 0.2058 0.2500
0.2152 0.2152 0.0000
0.2152 0.2152 0.5000
0.3681 0.6319 0.2500
0.6319 0.3681 0.7500
0.7848 0.7848 0.0000
0.7848 0.7848 0.5000
0.4192 0.5808 0.7500
0.5808 0.4192 0.2500
0.1596 0.8404 0.2500
0.8404 0.1596 0.7500
```

Properties
Energy of formation from the pure elements, meV/atom: -6.5
VASP energy, eV/atom: -5.263
Mass density, Mg/m³: 8.5


A plane-wave DFT calculation with PBE was carried out for NpAl4Cu2Au after structural relaxation.

The structure in POSCAR format:
```
NpAl4Cu2Au
1.0
2.1133 1.2201 9.0115
-2.1133 1.2201 9.0115
0.0000 -2.4402 9.0115
Np Al Cu Au
1 4 2 1
Direct
0.0000 0.0000 0.0000
0.1215 0.1215 0.1215
0.4010 0.4010 0.4010
0.5990 0.5990 0.5990
0.8785 0.8785 0.8785
0.2536 0.2536 0.2536
0.7464 0.7464 0.7464
0.5000 0.5000 0.5000
```

Properties
Energy of formation from the pure elements, meV/atom: -124.4
VASP energy, eV/atom: -5.047
Mass density, Mg/m³: 8.0


A plane-wave DFT calculation with PBE was carried out for NpAlCu2Au4 after structural relaxation.

The structure in POSCAR format:
```
NpAlCu2Au4
1.0
2.2251 1.2846 8.4821
-2.2251 1.2846 8.4821
0.0000 -2.5693 8.4821
Np Al Cu Au
1 1 2 4
Direct
0.0000 0.0000 0.0000
0.5000 0.5000 0.5000
0.2427 0.2427 0.2427
0.7573 0.7573 0.7573
0.1313 0.1313 0.1313
0.3957 0.3957 0.3957
0.6043 0.6043 0.6043
0.8687 0.8687 0.8687
```

Properties
Energy of formation from the pure elements, meV/atom: -116.3
VASP energy, eV/atom: -4.864
Mass density, Mg/m³: 13.5


A plane-wave DFT calculation with PBE was carried out for NpAl2CuAu4 after structural relaxation.

The structure in POSCAR format:
```
NpAl2CuAu4
1.0
2.2108 1.2764 8.8010
-2.2108 1.2764 8.8010
0.0000 -2.5529 8.8010
Np Al Cu Au
1 2 1 4
Direct
0.0000 0.0000 0.0000
0.2385 0.2385 0.2385
0.7615 0.7615 0.7615
0.5000 0.5000 0.5000
0.1319 0.1319 0.1319
0.3969 0.3969 0.3969
0.6031 0.6031 0.6031
0.8681 0.8681 0.8681
```

Properties
Energy of formation from the pure elements, meV/atom: -236.8
VASP energy, eV/atom: -4.941
Mass density, Mg/m³: 12.7


A plane-wave DFT calculation with PBE was carried out for PaAl2CuAu4 after structural relaxation.

The structure in POSCAR format:
```
PaAl2CuAu4
1.0
2.2091 1.2754 8.7068
-2.2091 1.2754 8.7068
0.0000 -2.5509 8.7068
Pa Al Cu Au
1 2 1 4
Direct
0.0000 0.0000 0.0000
0.2380 0.2380 0.2380
0.7620 0.7620 0.7620
0.5000 0.5000 0.5000
0.1300 0.1300 0.1300
0.3938 0.3938 0.3938
0.6062 0.6062 0.6062
0.8700 0.8700 0.8700
```

Properties
Energy of formation from the pure elements, meV/atom: -349.8
VASP energy, eV/atom: -4.623
Mass density, Mg/m³: 12.8